## BaSi2Se (PBE-GGA)

Data for a geometry-optimized BaSi2Se structure.

Cell: 4.300 4.300 11.357 Å, 90.00 90.00 90.00°
Space group I4/mmm (No. 139)
Inequivalent atoms, fractional coordinates:
Ba1 0.000 0.000 0.000
Si1 0.000 0.500 0.250
Se1 0.000 0.000 0.500

* excess energy over the best structure of this formula in the dataset: 0.491 eV/atom
* V: 210.0 Å³ per cell
* final energy: -4.0349 eV per atom
* crystal system: tetragonal



## LiCdSeBr2 (PBE-GGA)

Data for a geometry-optimized LiCdSeBr2 structure.

Cell: 5.611 5.611 5.274 Å, 90.00 90.00 90.00°
Space group P4/mmm (No. 123)
Inequivalent atoms, fractional coordinates:
Li1 0.000 0.000 0.000
Cd1 0.500 0.500 0.500
Se1 0.500 0.500 0.000
Br1 0.000 0.500 0.500

* excess energy over the best structure of this formula in the dataset: 0.000 eV/atom
* V: 166.0 Å³ per cell
* final energy: -2.3502 eV per atom
* crystal system: tetragonal



## Nd3Sm4In (PBE-GGA)

Data for a geometry-optimized Nd3Sm4In structure.

Cell: 26.367 3.506 5.900 Å, 90.00 97.35 90.00°
Space group C2/m (No. 12)
Inequivalent atoms, fractional coordinates:
Nd1 0.000 0.000 0.000
Nd2 0.150 0.000 0.204
Sm1 0.100 0.000 0.673
Sm2 0.218 0.500 0.733
In1 0.000 0.500 0.500

* excess energy over the best structure of this formula in the dataset: 0.160 eV/atom
* V: 540.9 Å³ per cell
* final energy: -4.4324 eV per atom
* crystal system: monoclinic
* energy relative to the elements: 0.06 eV per atom



## KZr2Sc (PBE-GGA)

Data for a geometry-optimized KZr2Sc structure.

Cell: 4.608 4.608 10.043 Å, 90.00 90.00 90.00°
Space group I4/mmm (No. 139)
Inequivalent atoms, fractional coordinates:
K1 0.000 0.000 0.000
Zr1 0.000 0.500 0.250
Sc1 0.000 0.000 0.500

* excess energy over the best structure of this formula in the dataset: 0.523 eV/atom
* V: 213.2 Å³ per cell
* final energy: -5.2785 eV per atom
* crystal system: tetragonal
* energy relative to the elements: 0.85 eV per atom



## Hf2CdCu (PBE-GGA)

Data for a geometry-optimized Hf2CdCu structure.

Cell: 4.028 4.028 20.830 Å, 90.00 90.00 90.00°
Space group I-42d (No. 122)
Inequivalent atoms, fractional coordinates:
Hf1 0.246 0.250 0.125
Cd1 0.000 0.000 0.500
Cu1 0.000 0.000 0.000

* V: 338.0 Å³ per cell
* final energy: -5.6649 eV per atom
* crystal system: tetragonal
* energy relative to the elements: 0.56 eV per atom



## Tl2Ag2GeCl6 (PBE-GGA)

Data for a geometry-optimized Tl2Ag2GeCl6 structure.

Cell: 13.798 7.473 7.431 Å, 90.00 122.08 90.00°
Space group C2/m (No. 12)
Inequivalent atoms, fractional coordinates:
Tl1 0.243 0.000 0.191
Ag1 0.074 0.500 0.234
Ge1 0.000 0.000 0.500
Cl1 0.062 0.247 0.806
Cl2 0.217 0.000 0.605

* V: 649.3 Å³ per cell
* final energy: -3.0966 eV per atom
* crystal system: monoclinic



Among the records above, which one has the highest final energy?
LiCdSeBr2



What is the formula in the fourth record?
KZr2Sc



What is the formula in the fifth record?
Hf2CdCu



What did the sixth record say?
## Tl2Ag2GeCl6 (PBE-GGA)

Data for a geometry-optimized Tl2Ag2GeCl6 structure.

Cell: 13.798 7.473 7.431 Å, 90.00 122.08 90.00°
Space group C2/m (No. 12)
Inequivalent atoms, fractional coordinates:
Tl1 0.243 0.000 0.191
Ag1 0.074 0.500 0.234
Ge1 0.000 0.000 0.500
Cl1 0.062 0.247 0.806
Cl2 0.217 0.000 0.605

* V: 649.3 Å³ per cell
* final energy: -3.0966 eV per atom
* crystal system: monoclinic